No. 1
PBE TbTmRh2, optimized geometry; ΔE to the lowest computed polymorph = 0.0000 eV/atom; energy of formation = -3.615 eV/f.u.
1.0
-0.138 -4.386 -1.995
3.689 -1.540 -2.694
2.894 -3.488 1.644
Rh Tm Tb
2 1 1
direct
0.750 0.750 0.750
0.250 0.250 0.250
0.500 0.500 0.500
0.000 0.000 0.000



No. 2
PBE Tb3Tm4Rh4, optimized geometry; energy of formation = -7.452 eV/f.u.
1.0
-1.637 -1.666 -2.930
7.530 0.474 -4.475
-0.833 -6.430 6.516
Tm Rh Tb
4 4 3
direct
0.334 0.146 0.668
0.666 0.854 0.332
0.334 0.522 0.668
0.666 0.478 0.332
0.500 0.787 0.000
0.752 0.252 0.505
0.248 0.748 0.495
0.500 0.213 0.000
0.103 0.103 0.207
0.897 0.897 0.793
0.000 0.500 0.000



No. 3
PBE Tb2Tm2Rh15, optimized geometry; energy of formation = -7.285 eV/f.u.
1.0
-6.461 2.423 0.364
-2.255 -2.421 -6.066
-3.028 -5.749 2.351
Rh Tm Tb
15 2 2
direct
0.649 0.649 0.160
0.160 0.649 0.649
0.693 0.307 0.000
0.840 0.351 0.351
0.307 0.693 0.000
0.000 0.000 0.500
0.351 0.351 0.840
0.000 0.500 0.000
0.307 0.000 0.693
0.000 0.307 0.693
0.351 0.840 0.351
0.649 0.160 0.649
0.693 0.000 0.307
0.500 0.000 0.000
0.000 0.693 0.307
0.891 0.891 0.891
0.109 0.109 0.109
0.640 0.640 0.640
0.360 0.360 0.360



No. 4
PBE TbTm3Rh8, optimized geometry; energy of formation = -8.869 eV/f.u.
1.0
5.313 0.000 0.000
-2.656 4.601 0.000
0.000 0.000 8.683
Rh Tm Tb
8 3 1
direct
0.503 0.005 0.751
0.672 0.836 0.249
0.164 0.328 0.249
0.503 0.497 0.751
0.333 0.667 0.000
0.164 0.836 0.249
0.333 0.667 0.500
0.995 0.497 0.751
0.667 0.333 0.066
0.667 0.333 0.432
0.000 0.000 0.935
0.000 0.000 0.567



No. 5
PBE Tb5TmRh6, optimized geometry; energy of formation = -10.363 eV/f.u.
1.0
-2.032 1.823 4.003
-0.374 -6.316 2.686
5.574 1.780 4.959
Tm Rh Tb
1 6 5
direct
0.000 0.000 0.000
0.500 0.753 0.000
0.500 0.247 0.000
0.165 0.249 0.669
0.165 0.751 0.669
0.835 0.751 0.331
0.835 0.249 0.331
0.666 0.000 0.668
0.334 0.000 0.332
0.000 0.500 0.000
0.667 0.500 0.667
0.333 0.500 0.333



No. 6
PBE TbTm2Rh, optimized geometry; ΔE to the lowest computed polymorph = 0.0000 eV/atom; energy of formation = -2.212 eV/f.u.
1.0
6.291 0.000 0.000
0.000 7.129 0.000
0.000 0.000 9.294
Tm Rh Tb
8 4 4
direct
0.171 0.677 0.063
0.171 0.677 0.437
0.329 0.177 0.437
0.671 0.823 0.937
0.829 0.323 0.937
0.329 0.177 0.063
0.671 0.823 0.563
0.829 0.323 0.563
0.058 0.383 0.250
0.942 0.617 0.750
0.442 0.883 0.250
0.558 0.117 0.750
0.134 0.966 0.750
0.866 0.034 0.250
0.634 0.534 0.250
0.366 0.466 0.750



The evaluated uncorrected energy for the records listed, in turn: -6.855 -6.240 -7.145 -7.144 -6.841 -5.784 eV per atom.